Er5Pb2N: relaxed, PBE.

Computed properties:
Symmetry: Pnma
Fermi-level density of states: 22.49 states/eV per cell
Energy relative to the elements, uncorrected: -695 meV per atom
Offset from the most stable computed form: 0 meV per atom
Total magnetization: 0.00 μB per cell

a = 8.688 Å, b = 6.617 Å, c = 14.116 Å
α = 90.00°, β = 90.00°, γ = 90.00°
Positions (direct):
Er: 0.000 0.000 0.000
Er: 0.000 0.500 0.000
Er: 0.060 0.250 0.204
Er: 0.135 0.507 0.600
Er: 0.135 0.993 0.600
Er: 0.230 0.750 0.386
Er: 0.270 0.250 0.886
Er: 0.365 0.007 0.100
Er: 0.365 0.493 0.100
Er: 0.440 0.750 0.704
Er: 0.500 0.000 0.500
Er: 0.500 0.500 0.500
Er: 0.560 0.250 0.296
Er: 0.635 0.507 0.900
Er: 0.635 0.993 0.900
Er: 0.730 0.750 0.114
Er: 0.770 0.250 0.614
Er: 0.865 0.007 0.400
Er: 0.865 0.493 0.400
Er: 0.940 0.750 0.796
Pb: 0.068 0.750 0.194
Pb: 0.216 0.250 0.405
Pb: 0.284 0.750 0.905
Pb: 0.432 0.250 0.694
Pb: 0.568 0.750 0.306
Pb: 0.716 0.250 0.095
Pb: 0.784 0.750 0.595
Pb: 0.932 0.250 0.806
N: 0.183 0.250 0.048
N: 0.317 0.750 0.548
N: 0.683 0.250 0.452
N: 0.817 0.750 0.952